Material: ZnFeCuTc
Method: DFT, PBE
State: relaxed

The value obtained for the theoretical density is 9.01 g/cm3. As for the energy above the most stable polymorph in this dataset: 0.119 eV per atom. The crystal system is cubic. As for the formation energy: 0.324 eV per atom.

The structure belongs to space group F-43m (No. 216); the cell edges are 5.930, 5.930 and 5.930 Å and the angles 90.00°, 90.00° and 90.00°. Symmetry generates all atoms from Zn at (0.000, 0.000, 0.000), Fe at (0.250, 0.250, 0.250), Cu at (0.000, 0.000, 0.500) and Tc at (0.250, 0.250, 0.750).